w | VASP calculation (GGA-PBE) on a relaxed CeDy2Al crystal.

Lattice parameters (Å, degrees): 3.3791 3.3791 35.2146 90.00 90.00 120.00
Space group R-3m (No. 166, hexagonal axes)
Unique sites:
1 Ce 0.0000 0.0000 0.0000
2 Dy 0.0000 0.0000 0.4135
3 Al 0.0000 0.0000 0.5000

Output
V = 348 Å³ per cell
Fermi-level density of states = 15.5 states/eV per cell


x | VASP calculation (GGA-PBE) on a relaxed CeDy2Al crystal.

Lattice parameters (Å, degrees): 3.474 3.474 8.952 90.00 90.00 90.00
Space group P4/mmm (No. 123)
Unique sites:
1 Ce 0.000 0.000 0.000
2 Dy 0.500 0.500 0.282
3 Al 0.000 0.000 0.500

Output
V = 108 Å³ per cell
Fermi-level density of states = 6.1 states/eV per cell


Name the most stable of them. x.


w | VASP calculation (GGA-PBE) on a relaxed CeDy2Al crystal.

Lattice parameters (Å, degrees): 7.481 7.481 7.481 90.00 90.00 90.00
Space group Fm-3m (No. 225)
Unique sites:
1 Ce 0.000 0.000 0.000
2 Dy 0.250 0.250 0.250
3 Al 0.000 0.000 0.500

Output
V = 419 Å³ per cell
Fermi-level density of states = 22.4 states/eV per cell


x | VASP calculation (GGA-PBE) on a relaxed CeDy2Al crystal.

Lattice parameters (Å, degrees): 4.791 4.791 4.599 90.00 90.00 90.00
Space group P4/mmm (No. 123)
Unique sites:
1 Ce 0.000 0.000 0.000
2 Dy 0.000 0.500 0.500
3 Al 0.500 0.500 0.000

Output
V = 106 Å³ per cell
Fermi-level density of states = 7.2 states/eV per cell


Name the most stable of them. x.


w | VASP calculation (GGA-PBE) on a relaxed Ce3DyAl8 crystal.

Lattice parameters (Å, degrees): 5.6188 5.6188 9.0556 90.00 90.00 120.00
Space group P3m1 (No. 156)
Unique sites:
1 Ce 0.0000 0.0000 0.0000
2 Ce 0.0000 0.0000 0.3280
3 Ce 0.3333 0.6667 0.8475
4 Dy 0.3333 0.6667 0.4848
5 Al 0.0099 0.5049 0.1653
6 Al 0.3236 0.1618 0.6621
7 Al 0.6667 0.3333 0.4127
8 Al 0.6667 0.3333 0.9125

Output
V = 248 Å³ per cell
Fermi-level density of states = 15.2 states/eV per cell


x | VASP calculation (GGA-PBE) on a relaxed Ce3DyAl8 crystal.

Lattice parameters (Å, degrees): 5.6089 5.6089 27.4239 90.00 90.00 120.00
Space group R3m (No. 160, hexagonal axes)
Unique sites:
1 Ce 0.0000 0.0000 0.0000
2 Ce 0.0000 0.0000 0.1231
3 Ce 0.0000 0.0000 0.6266
4 Dy 0.0000 0.0000 0.5000
5 Al 0.0000 0.0000 0.3120
6 Al 0.0000 0.0000 0.8125
7 Al 0.0003 0.5001 0.0632
8 Al 0.1673 0.3345 0.8950

Output
V = 747 Å³ per cell
Fermi-level density of states = 53.7 states/eV per cell


Name the most stable of them. x.


w | VASP calculation (GGA-PBE) on a relaxed CeEr2Al crystal.

Lattice parameters (Å, degrees): 7.490 7.490 7.490 90.00 90.00 90.00
Space group F-43m (No. 216)
Unique sites:
1 Ce 0.000 0.000 0.000
2 Er 0.000 0.000 0.500
3 Er 0.250 0.250 0.250
4 Al 0.250 0.250 0.750

Output
V = 420 Å³ per cell
Fermi-level density of states = 31.1 states/eV per cell


x | VASP calculation (GGA-PBE) on a relaxed CeEr2Al crystal.

Lattice parameters (Å, degrees): 3.444 3.444 8.980 90.00 90.00 90.00
Space group P4/mmm (No. 123)
Unique sites:
1 Ce 0.000 0.000 0.000
2 Er 0.500 0.500 0.284
3 Al 0.000 0.000 0.500

Output
V = 107 Å³ per cell
Fermi-level density of states = 6.1 states/eV per cell


Name the most stable of them. x.


w | VASP calculation (GGA-PBE) on a relaxed CeEr2Al crystal.

Lattice parameters (Å, degrees): 7.433 7.433 7.433 90.00 90.00 90.00
Space group Fm-3m (No. 225)
Unique sites:
1 Ce 0.000 0.000 0.000
2 Er 0.250 0.250 0.250
3 Al 0.000 0.000 0.500

Output
V = 411 Å³ per cell
Fermi-level density of states = 22.7 states/eV per cell


x | VASP calculation (GGA-PBE) on a relaxed CeEr2Al crystal.

Lattice parameters (Å, degrees): 4.763 4.763 4.596 90.00 90.00 90.00
Space group P4/mmm (No. 123)
Unique sites:
1 Ce 0.000 0.000 0.000
2 Er 0.000 0.500 0.500
3 Al 0.500 0.500 0.000

Output
V = 104 Å³ per cell
Fermi-level density of states = 7.5 states/eV per cell


Name the most stable of them. x.


w | VASP calculation (GGA-PBE) on a relaxed CeEu2Al crystal.

Lattice parameters (Å, degrees): 4.867 4.867 5.011 90.00 90.00 90.00
Space group P4/mmm (No. 123)
Unique sites:
1 Ce 0.000 0.000 0.000
2 Eu 0.000 0.500 0.500
3 Al 0.500 0.500 0.000

Output
V = 119 Å³ per cell
Fermi-level density of states = 8.1 states/eV per cell


x | VASP calculation (GGA-PBE) on a relaxed CeEu2Al crystal.

Lattice parameters (Å, degrees): 3.770 3.770 8.841 90.00 90.00 90.00
Space group P4/mmm (No. 123)
Unique sites:
1 Ce 0.000 0.000 0.000
2 Eu 0.500 0.500 0.292
3 Al 0.000 0.000 0.500

Output
V = 126 Å³ per cell
Fermi-level density of states = 6.6 states/eV per cell


Name the most stable of them. w.


w | VASP calculation (GGA-PBE) on a relaxed CeAl2F8 crystal.

Lattice parameters (Å, degrees): 11.390 5.783 4.695 90.00 93.95 90.00
Space group C2/m (No. 12)
Unique sites:
1 Ce 0.000 0.000 0.000
2 Al 0.229 0.500 0.496
3 F 0.122 0.500 0.740
4 F 0.166 0.223 0.327
5 F 0.182 0.000 0.799

Output
V = 309 Å³ per cell
Fermi-level density of states = 16.8 states/eV per cell


x | VASP calculation (GGA-PBE) on a relaxed CeAl2F8 crystal.

Lattice parameters (Å, degrees): 3.698 7.052 7.055 60.02 89.81 90.00
Space group P-1 (No. 2)
Unique sites:
1 Ce 0.000 0.000 0.000
2 Al 0.233 0.334 0.333
3 F 0.230 0.193 0.616
4 F 0.232 0.191 0.192
5 F 0.232 0.617 0.190
6 F 0.269 0.666 0.667

Output
V = 159 Å³ per cell
Fermi-level density of states = 7.6 states/eV per cell


Name the most stable of them. x.


w | VASP calculation (GGA-PBE) on a relaxed Ce2AlF crystal.

Lattice parameters (Å, degrees): 3.0806 3.0806 30.5213 90.00 90.00 120.00
Space group R-3m (No. 166, hexagonal axes)
Unique sites:
1 Ce 0.0000 0.0000 0.1002
2 Al 0.0000 0.0000 0.0000
3 F 0.0000 0.0000 0.5000

Output
V = 251 Å³ per cell
Fermi-level density of states = 21.6 states/eV per cell


x | VASP calculation (GGA-PBE) on a relaxed Ce2AlF crystal.

Lattice parameters (Å, degrees): 3.144 3.144 8.157 90.00 90.00 90.00
Space group P4/mmm (No. 123)
Unique sites:
1 Ce 0.000 0.000 0.231
2 Al 0.500 0.500 0.500
3 F 0.500 0.500 0.000

Output
V = 81 Å³ per cell
Fermi-level density of states = 9.5 states/eV per cell


Name the most stable of them. x.


w | VASP calculation (GGA-PBE) on a relaxed Ce3AlFe crystal.

Lattice parameters (Å, degrees): 5.038 5.038 5.038 90.00 90.00 90.00
Space group Pm-3m (No. 221)
Unique sites:
1 Ce 0.000 0.000 0.500
2 Al 0.500 0.500 0.500
3 Fe 0.000 0.000 0.000

Output
V = 128 Å³ per cell
Fermi-level density of states = 12.2 states/eV per cell


x | VASP calculation (GGA-PBE) on a relaxed Ce3AlFe crystal.

Lattice parameters (Å, degrees): 6.561 6.250 11.203 90.00 90.63 90.00
Space group P2/c (No. 13)
Unique sites:
1 Ce 0.126 0.198 0.439
2 Ce 0.208 0.442 0.720
3 Ce 0.364 0.245 0.938
4 Al 0.302 0.041 0.194
5 Fe 0.424 0.301 0.361

Output
V = 459 Å³ per cell
Fermi-level density of states = 41.5 states/eV per cell


Name the most stable of them. x.


w | VASP calculation (GGA-PBE) on a relaxed Ce2AlFe crystal.

Lattice parameters (Å, degrees): 3.563 3.563 6.665 90.00 90.00 90.00
Space group P4/mmm (No. 123)
Unique sites:
1 Ce 0.000 0.000 0.215
2 Al 0.500 0.500 0.500
3 Fe 0.500 0.500 0.000

Output
V = 85 Å³ per cell
Fermi-level density of states = 5.9 states/eV per cell


x | VASP calculation (GGA-PBE) on a relaxed Ce2AlFe crystal.

Lattice parameters (Å, degrees): 5.628 5.865 11.530 90.00 116.48 90.00
Space group P2_1/c (No. 14)
Unique sites:
1 Ce 0.039 0.243 0.104
2 Ce 0.349 0.196 0.393
3 Al 0.263 0.742 0.717
4 Fe 0.444 0.021 0.103

Output
V = 341 Å³ per cell
Fermi-level density of states = 22.8 states/eV per cell


Name the most stable of them. x.


w | VASP calculation (GGA-PBE) on a relaxed Ce4AlGa3 crystal.

Lattice parameters (Å, degrees): 3.095 5.546 11.089 90.00 90.00 90.00
Space group Pmmm (No. 47)
Unique sites:
1 Ce 0.000 0.000 0.000
2 Ce 0.000 0.000 0.500
3 Ce 0.000 0.500 0.247
4 Al 0.500 0.500 0.500
5 Ga 0.500 0.000 0.250
6 Ga 0.500 0.500 0.000

Output
V = 190 Å³ per cell
Fermi-level density of states = 17.1 states/eV per cell


x | VASP calculation (GGA-PBE) on a relaxed Ce4AlGa3 crystal.

Lattice parameters (Å, degrees): 4.136 4.392 11.206 90.00 90.00 90.00
Space group Pmm2 (No. 25)
Unique sites:
1 Ce 0.000 0.000 0.000
2 Ce 0.000 0.500 0.496
3 Ce 0.500 0.000 0.705
4 Ce 0.500 0.500 0.209
5 Al 0.000 0.500 0.785
6 Ga 0.000 0.000 0.282
7 Ga 0.500 0.000 0.423
8 Ga 0.500 0.500 0.925

Output
V = 204 Å³ per cell
Fermi-level density of states = 17.9 states/eV per cell


Name the most stable of them. x.


w | VASP calculation (GGA-PBE) on a relaxed Ce2AlGa6 crystal.

Lattice parameters (Å, degrees): 4.697 4.697 8.630 90.00 90.00 90.00
Space group P4/mmm (No. 123)
Unique sites:
1 Ce 0.000 0.000 0.247
2 Al 0.500 0.500 0.000
3 Ga 0.000 0.500 0.000
4 Ga 0.000 0.500 0.500
5 Ga 0.500 0.500 0.308

Output
V = 190 Å³ per cell
Fermi-level density of states = 11.6 states/eV per cell


x | VASP calculation (GGA-PBE) on a relaxed Ce2AlGa6 crystal.

Lattice parameters (Å, degrees): 9.001 9.001 9.001 90.00 90.00 90.00
Space group Fm-3m (No. 225)
Unique sites:
1 Ce 0.250 0.250 0.250
2 Al 0.000 0.000 0.000
3 Ga 0.000 0.000 0.289

Output
V = 729 Å³ per cell
Fermi-level density of states = 39.7 states/eV per cell


Name the most stable of them. x.